Crystalline TlTePbI at its relaxed geometry. Source: Alexandria, functional PBE-GGA.

a = 5.7934 Å, b = 5.7934 Å, c = 5.7934 Å
α = 60.00°, β = 60.00°, γ = 60.00°
Last column: nearest neighbours and their distance in Å.
Fractional positions:
Pb 0.0000 0.0000 0.0000  4 Te 3.55, 4 I 3.55
I 0.7500 0.7500 0.7500  4 Tl 3.55, 4 Pb 3.55
Te 0.2500 0.2500 0.2500  4 Tl 3.55, 4 Pb 3.55
Tl 0.5000 0.5000 0.5000  4 I 3.55, 4 Te 3.55

Values from the calculation:
Its formation energy from raw total energies is -0.311 eV per atom. Its size of the total moment is 0.0 μB/cell.

Crystalline CePr4Y15 at its relaxed geometry. Source: Alexandria, functional PBE-GGA.

a = 5.1081 Å, b = 5.1081 Å, c = 25.3634 Å
α = 90.00°, β = 90.00°, γ = 90.00°
Last column: nearest neighbours and their distance in Å.
Fractional positions:
Y 0.5000 0.5000 0.0000  8 Y 3.56, 4 Ce 3.61
Y 0.5000 0.0000 0.7011  8 Y 3.60-3.61, 4 Pr 3.61
Y 0.5000 0.0000 0.9024  2 Ce 3.56, 8 Y 3.56-3.62, 2 Pr 3.61
Y 0.0000 0.5000 0.7011  8 Y 3.60-3.61, 4 Pr 3.61
Y 0.0000 0.5000 0.9024  2 Ce 3.56, 8 Y 3.56-3.62, 2 Pr 3.61
Y 0.5000 0.0000 0.5000  4 Pr 3.61, 8 Y 3.61
Y 0.5000 0.5000 0.8010  8 Y 3.60-3.62, 4 Pr 3.61
Y 0.5000 0.5000 0.1990  8 Y 3.60-3.62, 4 Pr 3.61
Y 0.0000 0.5000 0.0976  8 Y 3.56-3.62, 2 Ce 3.56, 2 Pr 3.61
Y 0.5000 0.5000 0.3994  8 Y 3.61, 4 Pr 3.61
Y 0.0000 0.5000 0.2989  8 Y 3.60-3.61, 4 Pr 3.61
Y 0.0000 0.5000 0.5000  4 Pr 3.61, 8 Y 3.61
Y 0.5000 0.0000 0.0976  8 Y 3.56-3.62, 2 Ce 3.56, 2 Pr 3.61
Y 0.5000 0.0000 0.2989  8 Y 3.60-3.61, 4 Pr 3.61
Y 0.5000 0.5000 0.6006  8 Y 3.61, 4 Pr 3.61
Pr 0.0000 0.0000 0.6005  12 Y 3.61
Pr 0.0000 0.0000 0.3995  12 Y 3.61
Pr 0.0000 0.0000 0.1982  12 Y 3.61
Pr 0.0000 0.0000 0.8018  12 Y 3.61
Ce 0.0000 0.0000 0.0000  12 Y 3.56-3.61

Values from the calculation:
Its size of the total moment is 1.0 μB/cell. The formation energy is 0.032 eV per atom.

Crystalline Pr5Ho2Er3 at its relaxed geometry. Source: Alexandria, functional PBE-GGA.

a = 6.4865 Å, b = 11.1033 Å, c = 11.1033 Å
α = 101.83°, β = 73.02°, γ = 73.02°
Last column: nearest neighbours and their distance in Å.
Fractional positions:
Ho 0.9058 0.4195 0.7689  4 Er 3.58-3.92, 6 Pr 3.61-3.95, 2 Ho 4.00
Ho 0.0942 0.5805 0.2311  4 Er 3.58-3.92, 6 Pr 3.61-3.95, 2 Ho 4.00
Ho 0.5942 0.2311 0.5805  4 Er 3.58-3.92, 6 Pr 3.61-3.95, 2 Ho 4.00
Ho 0.4058 0.7689 0.4195  4 Er 3.58-3.92, 6 Pr 3.61-3.95, 2 Ho 4.00
Pr 0.7500 0.5000 0.5000  4 Pr 3.15-3.24
Pr 0.1003 0.0656 0.7338  3 Er 3.27-3.51, 1 Ho 3.66
Pr 0.4964 0.7536 0.7536  3 Er 3.06-3.31, 3 Pr 3.15-3.24
Pr 0.5036 0.2464 0.2464  3 Er 3.06-3.31, 3 Pr 3.15-3.24
Pr 0.2500 0.5000 0.5000  4 Pr 3.15-3.24
Pr 0.9964 0.7536 0.7536  3 Er 3.06-3.31, 3 Pr 3.15-3.24
Pr 0.6003 0.7338 0.0656  3 Er 3.27-3.51, 1 Ho 3.66
Pr 0.0036 0.2464 0.2464  3 Er 3.06-3.31, 3 Pr 3.15-3.24
Pr 0.3997 0.2662 0.9344  3 Er 3.27-3.51, 1 Ho 3.66
Pr 0.8997 0.9344 0.2662  3 Er 3.27-3.51, 1 Ho 3.66
Er 0.7500 0.0000 0.0000  2 Pr 3.06, 2 Er 3.24
Er 0.2500 0.0000 0.0000  2 Pr 3.06, 2 Er 3.24
Er 0.2212 0.1132 0.4445  3 Pr 3.27-3.31, 3 Ho 3.58-3.61
Er 0.2788 0.5555 0.8868  3 Pr 3.27-3.31, 3 Ho 3.58-3.61
Er 0.7212 0.4445 0.1132  3 Pr 3.27-3.31, 3 Ho 3.58-3.61
Er 0.7788 0.8868 0.5555  3 Pr 3.27-3.31, 3 Ho 3.58-3.61

Values from the calculation:
Its size of the total moment is 0.0 μB/cell. The formation energy is 0.311 eV per atom.

Crystalline LiZnCrSn2 at its relaxed geometry. Source: Alexandria, functional PBE-GGA.

a = 4.8395 Å, b = 4.3601 Å, c = 4.8395 Å
α = 90.00°, β = 90.00°, γ = 90.00°
Last column: nearest neighbours and their distance in Å.
Fractional positions:
Sn 0.0000 0.0000 0.5000  2 Li 2.42
Sn 0.5000 0.0000 0.0000  2 Li 2.42
Li 0.0000 0.0000 0.0000  2 Zn 2.18, 4 Sn 2.42
Zn 0.0000 0.5000 0.0000  2 Li 2.18
Cr 0.5000 0.5000 0.5000  8 Sn 3.26, 4 Zn 3.42

Values from the calculation:
Its size of the total moment is 0.1 μB/cell. The formation energy is 0.953 eV per atom.

Crystalline CaSc2Si at its relaxed geometry. Source: Alexandria, functional PBE-GGA.

a = 3.3672 Å, b = 3.3672 Å, c = 8.5285 Å
α = 90.00°, β = 90.00°, γ = 90.01°
Last column: nearest neighbours and their distance in Å.
Fractional positions:
Sc 0.0000 0.0000 0.0377  8 Sc 3.21-3.37
Sc 0.5000 0.5000 0.2896  4 Si 2.84
Si 0.0000 0.0000 0.4715  4 Sc 2.84, 4 Ca 3.08
Ca 0.5000 0.5000 0.7013  4 Si 3.08, 4 Ca 3.37

Values from the calculation:
Its formation energy from raw total energies is -0.175 eV per atom. Its size of the total moment is 0.9 μB/cell.

Crystalline ScAl2Ni2 at its relaxed geometry. Source: Alexandria, functional PBE-GGA.

a = 3.8654 Å, b = 3.8654 Å, c = 10.6176 Å
α = 100.49°, β = 100.49°, γ = 90.00°
Last column: nearest neighbours and their distance in Å.
Fractional positions:
Al 0.5000 0.0000 0.0000  4 Ni 2.40
Al 0.1831 0.1831 0.3663  5 Ni 2.34-2.37
Al 0.8169 0.8169 0.6337  5 Ni 2.34-2.37
Al 0.0000 0.5000 0.0000  4 Ni 2.40
Ni 0.2500 0.7500 0.5000  4 Al 2.37
Ni 0.0691 0.0691 0.1382  5 Al 2.34-2.40
Ni 0.7500 0.2500 0.5000  4 Al 2.37
Ni 0.9309 0.9309 0.8618  5 Al 2.34-2.40
Sc 0.6242 0.6242 0.2484  8 Ni 2.96-3.22, 8 Al 2.99-3.20
Sc 0.3758 0.3758 0.7516  8 Ni 2.96-3.22, 8 Al 2.99-3.20

Values from the calculation:
Its size of the total moment is 0.0 μB/cell. The formation energy is -0.531 eV per atom.

Crystalline TlMo3P3 at its relaxed geometry. Source: Alexandria, functional PBE-GGA.

a = 8.1510 Å, b = 7.4677 Å, c = 4.5613 Å
α = 90.00°, β = 90.00°, γ = 111.35°
Last column: nearest neighbours and their distance in Å.
Fractional positions:
Mo 0.0476 0.2903 0.2500  5 P 2.43-2.58
Mo 0.1540 0.9192 0.2500  4 P 2.42-2.54, 1 Mo 2.65
Mo 0.8107 0.8451 0.2500  4 P 2.41-2.59, 1 Mo 2.65
Mo 0.1893 0.1549 0.7500  4 P 2.41-2.59, 1 Mo 2.65
Mo 0.9524 0.7097 0.7500  5 P 2.43-2.58
Mo 0.8460 0.0808 0.7500  4 P 2.42-2.54, 1 Mo 2.65
Tl 0.3944 0.6732 0.2500  5 P 2.97-3.10, 3 Mo 3.14-3.21
Tl 0.6056 0.3268 0.7500  5 P 2.97-3.10, 3 Mo 3.14-3.21
P 0.3392 0.2572 0.2500  4 Mo 2.42-2.57
P 0.0577 0.4231 0.7500  5 Mo 2.48-2.59
P 0.2701 0.8755 0.7500  4 Mo 2.41-2.54
P 0.6608 0.7428 0.7500  4 Mo 2.42-2.57
P 0.7299 0.1245 0.2500  4 Mo 2.41-2.54
P 0.9423 0.5769 0.2500  5 Mo 2.48-2.59

Values from the calculation:
Its size of the total moment is 0.0 μB/cell. The formation energy is -0.150 eV per atom.

Crystalline Li5HoAg8 at its relaxed geometry. Source: Alexandria, functional PBE-GGA.

a = 6.9726 Å, b = 6.9726 Å, c = 6.9726 Å
α = 109.94°, β = 108.55°, γ = 109.94°
Last column: nearest neighbours and their distance in Å.
Fractional positions:
Ag 0.9044 0.0481 0.6550  4 Li 2.53-2.78
Ag 0.7441 0.2608 0.3323  5 Li 2.77-2.89, 3 Ag 2.88-2.92
Ag 0.5167 0.5882 0.2559  5 Li 2.77-2.89, 3 Ag 2.88-2.92
Ag 0.3450 0.2493 0.3930  4 Li 2.53-2.78
Ag 0.0715 0.7392 0.4833  5 Li 2.77-2.89, 3 Ag 2.88-2.92
Ag 0.1437 0.7507 0.0956  4 Li 2.53-2.78
Ag 0.6070 0.9519 0.8563  4 Li 2.53-2.78
Ag 0.6677 0.4118 0.9285  5 Li 2.77-2.89, 3 Ag 2.88-2.92
Li 0.8621 0.9132 0.2141  8 Ag 2.72-2.89
Li 0.0511 0.3519 0.1379  8 Ag 2.72-2.89
Li 0.3008 0.0868 0.9489  8 Ag 2.72-2.89
Li 0.5000 0.0000 0.5000  4 Ag 2.53
Li 0.7859 0.6481 0.6992  8 Ag 2.72-2.89
Ho 0.2500 0.5000 0.7500  8 Ag 2.93-3.14

Values from the calculation:
Its size of the total moment is 0.0 μB/cell. The formation energy is -0.104 eV per atom.

Q: The highest size of the total moment belongs to which entry?
A: CePr4Y15